# 1
Crystalline Tm2LuAg at its relaxed geometry. Source: Alexandria via LeMat-Bulk, functional PBE-GGA.

Output
The calculation puts the formation energy from the elements at 217 meV per atom. For the energy above the most stable polymorph in this dataset, the calculation gives 0.349 eV/atom.

Cell: 11.687 11.687 11.687 Å, 16.43 16.43 16.43°
Fractional positions:
Tm (0.096, 0.096, 0.096)
Tm (0.904, 0.904, 0.904)
Lu (0.000, 0.000, 0.000)
Ag (0.500, 0.500, 0.500)

=====

# 2
Crystalline GaMo at its relaxed geometry. Source: Alexandria via LeMat-Bulk, functional PBE-GGA.

Output
The calculation puts the formation energy from the elements at 371 meV per atom. For the energy above the most stable polymorph in this dataset, the calculation gives 0.459 eV/atom.

Cell: 6.293 6.083 5.115 Å, 67.74 63.47 48.79°
Fractional positions:
Ga (0.057, 0.693, 0.693)
Ga (0.307, 0.943, 0.943)
Ga (0.693, 0.057, 0.057)
Ga (0.943, 0.307, 0.307)
Mo (0.191, 0.559, 0.191)
Mo (0.441, 0.809, 0.441)
Mo (0.559, 0.191, 0.559)
Mo (0.809, 0.441, 0.809)

=====

The highest formation energy from the elements belongs to which entry? GaMo

=====

Which formula does entry 2 have? GaMo